Mg2CoSe | PBEsol | relaxed

Computed properties:
M_tot (μB per formula unit): 0.7
Calculated volume (Å³/f.u.): 65.5
Symmetry: I-4m2
Energy above the most stable polymorph in this dataset (meV per atom): 200
E_form (uncorrected) (eV per atom): -0.0215

Geometry as POSCAR:
```
Mg2CoSe
1.0
-2.3735 -2.9173 -0.5844
2.8971 -2.4364 0.3960
-1.0674 2.4416 4.5405
Mg Co Se
2 1 1
Direct
0.7500 0.2500 0.5000
0.0000 0.0000 0.0000
0.2500 0.7500 0.5000
0.5000 0.5000 0.0000
```

=====

Li3FeTe | PBEsol | relaxed

Computed properties:
M_tot (μB per formula unit): 3.1
Calculated volume (Å³/f.u.): 133.2
Symmetry: Pm-3m
E_form (uncorrected) (eV per atom): 0.3458

Geometry as POSCAR:
```
Li3FeTe
1.0
-3.4370 -3.3522 -1.7415
3.7370 -2.6729 -2.2301
0.5523 -2.7751 4.2516
Li Fe Te
3 1 1
Direct
0.0000 0.0000 0.5000
0.0000 0.5000 0.0000
0.5000 0.0000 0.0000
0.5000 0.5000 0.5000
0.0000 0.0000 0.0000
```

=====

Y2WBr | PBEsol | relaxed

Computed properties:
M_tot (μB per formula unit): 0.0
Calculated volume (Å³/f.u.): 100.8
Symmetry: P4mm
Energy above the most stable polymorph in this dataset (meV per atom): 518
E_form (uncorrected) (eV per atom): 0.4207

Geometry as POSCAR:
```
Y2WBr
1.0
3.1517 0.0000 0.0000
0.0000 3.1517 0.0000
0.0000 0.0000 10.1520
Br Y W
1 2 1
Direct
0.0000 0.0000 0.4628
0.5000 0.5000 0.2821
0.0000 0.0000 0.9785
0.5000 0.5000 0.7765
```

=====

Question: Look up the calculated volume of the third one.
Answer: 100.8 Å³/f.u.